(1)
An optimized crystal structure of ThTe2I. Source: Alexandria via LeMat-Bulk, functional PBE-GGA.

Summary:
- volume (Å³/f.u.) = 169.3
- offset from the most stable computed form (meV/atom) = 0
- calculated total energy (eV for the cell shown) = -18.182
- total magnetic moment (μB per formula unit) = 0.00

abc: 4.5206 4.5219 9.6019
angles: 84.14 84.73 60.22
Space group P-1 (No. 2)
Symmetry-distinct sites (fractional):
Th1 0.0000 0.0000 0.0000
Te1 0.3543 0.3628 0.8138
I1 0.5000 0.5000 0.5000

---

(2)
An optimized crystal structure of ThTeI2. Source: Alexandria via LeMat-Bulk, functional PBE-GGA.

Summary:
- volume (Å³/f.u.) = 164.8
- offset from the most stable computed form (meV/atom) = 0
- calculated total energy (eV for the cell shown) = -72.703
- total magnetic moment (μB per formula unit) = 0.00

abc: 4.2997 15.1791 10.0974
angles: 90.00 90.00 90.00
Space group Cmcm (No. 63)
Symmetry-distinct sites (fractional):
Th1 0.0000 0.2313 0.2500
Te1 0.0000 0.4077 0.7500
I1 0.0000 0.1534 0.5682

---

(3)
An optimized crystal structure of ThTeI2. Source: Alexandria via LeMat-Bulk, functional PBE-GGA.

Summary:
- volume (Å³/f.u.) = 192.0
- offset from the most stable computed form (meV/atom) = 15
- calculated total energy (eV for the cell shown) = -36.233
- total magnetic moment (μB per formula unit) = 0.00

abc: 11.2115 4.1997 8.7516
angles: 90.00 111.25 90.00
Space group Cm (No. 8)
Symmetry-distinct sites (fractional):
Th1 0.0000 0.0000 0.0000
Te1 0.2051 0.5000 0.9996
I1 0.0080 0.5000 0.2795
I2 0.3500 0.0000 0.7204